Density functional theory data (PBE) for ZnP2Rh after structural relaxation.

abc: 4.817 4.817 4.817
angles: 141.69 123.15 70.64
Element x y z (fractional)
P 0.980 0.980 0.000
P 0.765 0.265 0.500
Rh 0.520 0.520 0.000
Zn 0.236 0.736 0.500

Values from the calculation:
Mass density   6.71 Mg/m³
Calculated volume   14.248 A^3/atom
Total magnetization   0.0 μB per cell
Final energy   -19.2 eV per cell
SG   Imm2